Run i
CaLa2Ir | PBE-GGA | optimized geometry

Unit cell a=6.0290 b=6.1193 c=3.4547 alpha=77.31 beta=82.70 gamma=117.18
With the nearest neighbours (Å) after each atom.
Fractional coordinates of all 4 atoms:
Ca: 0.0000 0.5000 0.5000  4 La 3.17, 2 Ir 3.28, 2 Ca 3.45
Ir: 0.5000 0.5000 0.0000  4 La 3.17, 2 Ca 3.28, 2 Ir 3.45
La: 0.0000 0.0000 0.0000  2 Ca 3.17, 2 Ir 3.17, 4 La 3.28-3.45
La: 0.5000 0.0000 0.5000  2 Ir 3.17, 2 Ca 3.17, 4 La 3.28-3.45

Results
The spin magnetization is 0.0 μB per cell. Its density of states at the Fermi level is 5.1 states/eV/f.u.

Run ii
CaLa2Ir | PBE-GGA | optimized geometry

Unit cell a=5.3467 b=5.3467 c=5.3467 alpha=60.00 beta=60.00 gamma=60.00
With the nearest neighbours (Å) after each atom.
Fractional coordinates of all 4 atoms:
Ca: 0.0000 0.0000 0.0000  8 La 3.27
Ir: 0.5000 0.5000 0.5000  8 La 3.27
La: 0.2500 0.2500 0.2500  4 Ca 3.27, 4 Ir 3.27
La: 0.7500 0.7500 0.7500  4 Ir 3.27, 4 Ca 3.27

Results
The spin magnetization is 0.0 μB per cell. Its density of states at the Fermi level is 4.0 states/eV/f.u.

Run iii
CaLa2Ir | PBE-GGA | optimized geometry

Unit cell a=3.8961 b=4.4195 c=8.2151 alpha=74.36 beta=90.00 gamma=90.00
With the nearest neighbours (Å) after each atom.
Fractional coordinates of all 4 atoms:
Ca: 0.0000 0.6685 0.5381  2 Ir 3.19
Ir: 0.5000 0.5091 0.8576  5 La 2.78-2.96
La: 0.0000 0.9897 0.8957  4 Ir 2.96
La: 0.5000 0.3327 0.2086  1 Ir 2.78

Results
The spin magnetization is 0.0 μB per cell. Its density of states at the Fermi level is 4.0 states/eV/f.u.

Run iv
CaLa2Ir | PBE-GGA | optimized geometry

Unit cell a=3.6669 b=3.6669 c=9.8711 alpha=90.00 beta=90.00 gamma=90.00
With the nearest neighbours (Å) after each atom.
Fractional coordinates of all 4 atoms:
Ca: 0.5000 0.5000 0.2500  4 Ca 3.67
Ir: 0.5000 0.5000 0.7500  8 La 3.07
La: 0.0000 0.0000 0.9171  4 Ir 3.07, 1 La 3.30
La: 0.0000 0.0000 0.5829  4 Ir 3.07, 1 La 3.30

Results
The spin magnetization is 0.0 μB per cell. Its density of states at the Fermi level is 5.1 states/eV/f.u.

In terms of stability, run iv leads; the second structure lies 7 meV/atom higher.

Run i
CaLa2Ir2 | PBE-GGA | optimized geometry

Unit cell a=8.0106 b=8.0106 c=3.9667 alpha=90.00 beta=90.00 gamma=90.00
With the nearest neighbours (Å) after each atom.
Fractional coordinates of all 10 atoms:
Ca: 0.0000 0.0000 0.0000  4 Ir 3.09
Ca: 0.5000 0.5000 0.0000  4 Ir 3.09
Ir: 0.3591 0.8591 0.0000  6 La 3.03-3.10, 2 Ca 3.09, 1 Ir 3.19
Ir: 0.8591 0.6409 0.0000  6 La 3.03-3.10, 2 Ca 3.09, 1 Ir 3.19
Ir: 0.6409 0.1409 0.0000  6 La 3.03-3.10, 2 Ca 3.09, 1 Ir 3.19
Ir: 0.1409 0.3591 0.0000  6 La 3.03-3.10, 2 Ca 3.09, 1 Ir 3.19
La: 0.1568 0.6568 0.5000  6 Ir 3.03-3.10
La: 0.6568 0.8432 0.5000  6 Ir 3.03-3.10
La: 0.8432 0.3432 0.5000  6 Ir 3.03-3.10
La: 0.3432 0.1568 0.5000  6 Ir 3.03-3.10

Results
The spin magnetization is 0.0 μB per cell. Its density of states at the Fermi level is 0.4 states/eV/f.u.

Run ii
CaLa2Ir2 | PBE-GGA | optimized geometry

Unit cell a=8.5279 b=8.5279 c=3.3757 alpha=90.00 beta=90.00 gamma=90.00
With the nearest neighbours (Å) after each atom.
Fractional coordinates of all 10 atoms:
Ca: 0.0000 0.0000 0.0000  4 La 3.30, 2 Ca 3.38, 8 Ir 3.61
Ca: 0.5000 0.5000 0.0000  4 La 3.30, 2 Ca 3.38, 8 Ir 3.61
Ir: 0.1643 0.6643 0.5000  6 La 2.91-3.09
Ir: 0.6643 0.8357 0.5000  6 La 2.91-3.09
Ir: 0.8357 0.3357 0.5000  6 La 2.91-3.09
Ir: 0.3357 0.1643 0.5000  6 La 2.91-3.09
La: 0.3613 0.8613 0.0000  6 Ir 2.91-3.09
La: 0.8613 0.6387 0.0000  6 Ir 2.91-3.09
La: 0.6387 0.1387 0.0000  6 Ir 2.91-3.09
La: 0.1387 0.3613 0.0000  6 Ir 2.91-3.09

Results
The spin magnetization is 0.0 μB per cell. Its density of states at the Fermi level is 2.1 states/eV/f.u.

In terms of stability, run i leads; the second structure lies 189 meV/atom higher.

Run i
CaLa4Ir | PBE-GGA | optimized geometry

Unit cell a=6.4047 b=6.4047 c=6.4047 alpha=60.00 beta=60.00 gamma=60.00
With the nearest neighbours (Å) after each atom.
Fractional coordinates of all 6 atoms:
Ca: 0.7500 0.7500 0.7500  12 La 3.77, 4 Ir 3.92
La: 0.8859 0.3714 0.3714  6 La 3.11-3.30
La: 0.3714 0.3714 0.8859  6 La 3.11-3.30
La: 0.3714 0.8859 0.3714  6 La 3.11-3.30
La: 0.3714 0.3714 0.3714  6 La 3.11-3.30
Ir: 0.0000 0.0000 0.0000  12 La 3.75, 4 Ca 3.92

Results
The spin magnetization is 0.0 μB per cell. Its density of states at the Fermi level is 9.9 states/eV/f.u.

Run ii
CaLa4Ir | PBE-GGA | optimized geometry

Unit cell a=6.3141 b=7.3877 c=9.4984 alpha=90.00 beta=102.75 gamma=90.00
With the nearest neighbours (Å) after each atom.
Fractional coordinates of all 12 atoms:
Ca: 0.2789 0.7500 0.5585  7 La 3.57-3.92
Ca: 0.7211 0.2500 0.4415  7 La 3.57-3.92
La: 0.7063 0.7500 0.3148  1 Ir 2.88
La: 0.2937 0.2500 0.6852  1 Ir 2.88
La: 0.3740 0.7500 0.9431  1 Ir 2.87
La: 0.6260 0.2500 0.0569  1 Ir 2.87
La: 0.1479 0.0091 0.1999  2 Ir 2.91-2.93
La: 0.8521 0.5091 0.8001  2 Ir 2.91-2.93
La: 0.1479 0.4909 0.1999  2 Ir 2.91-2.93
La: 0.8521 0.9909 0.8001  2 Ir 2.91-2.93
Ir: 0.8367 0.7500 0.0427  6 La 2.87-2.93
Ir: 0.1633 0.2500 0.9573  6 La 2.87-2.93

Results
The spin magnetization is 0.0 μB per cell. Its density of states at the Fermi level is 8.4 states/eV/f.u.

Run iii
CaLa4Ir | PBE-GGA | optimized geometry

Unit cell a=6.6190 b=10.0548 c=8.9848 alpha=116.33 beta=101.08 gamma=108.35
With the nearest neighbours (Å) after each atom.
Fractional coordinates of all 12 atoms:
Ca: 0.3414 0.5914 0.1829  8 La 3.82-4.09, 2 Ca 4.28
Ca: 0.6586 0.4086 0.8171  8 La 3.82-4.09, 2 Ca 4.28
La: 0.2782 0.9302 0.5638  1 Ir 2.78
La: 0.0713 0.8909 0.1351  2 Ir 2.81-2.93
La: 0.2144 0.3665 0.4362  1 Ir 2.78
La: 0.4362 0.7558 0.8649  2 Ir 2.81-2.93
La: 0.7218 0.0698 0.4362  1 Ir 2.78
La: 0.7856 0.6335 0.5638  1 Ir 2.78
La: 0.9287 0.1091 0.8649  2 Ir 2.81-2.93
La: 0.5638 0.2442 0.1351  2 Ir 2.81-2.93
Ir: 0.8267 0.0767 0.1534  6 La 2.78-2.93
Ir: 0.1733 0.9233 0.8466  6 La 2.78-2.93

Results
The spin magnetization is 0.0 μB per cell. Its density of states at the Fermi level is 8.1 states/eV/f.u.

In terms of stability, run ii leads; the second structure lies 101 meV/atom higher.

Run i
LiCaLa2Ir | PBE-GGA | optimized geometry

Unit cell a=5.5756 b=5.5756 c=5.7987 alpha=90.00 beta=90.00 gamma=90.00
With the nearest neighbours (Å) after each atom.
Fractional coordinates of all 5 atoms:
Ca: 0.0000 0.0000 0.5000  2 Ir 2.90
Ir: 0.0000 0.0000 0.0000  4 La 2.79, 2 Ca 2.90
Li: 0.5000 0.5000 0.5000  4 Ca 3.94, 8 La 4.02
La: 0.0000 0.5000 0.0000  2 Ir 2.79
La: 0.5000 0.0000 0.0000  2 Ir 2.79

Results
The spin magnetization is 0.0 μB per cell. Its density of states at the Fermi level is 3.4 states/eV/f.u.

Run ii
LiCaLa2Ir | PBE-GGA | optimized geometry

Unit cell a=5.5684 b=5.5684 c=5.3437 alpha=90.00 beta=90.00 gamma=90.00
With the nearest neighbours (Å) after each atom.
Fractional coordinates of all 5 atoms:
Ca: 0.5000 0.5000 0.5000  8 La 3.86, 4 Li 3.94
Ir: 0.0000 0.0000 0.0000  2 Li 2.67, 4 La 2.78
Li: 0.0000 0.0000 0.5000  2 Ir 2.67
La: 0.0000 0.5000 0.0000  2 Ir 2.78
La: 0.5000 0.0000 0.0000  2 Ir 2.78

Results
The spin magnetization is 0.0 μB per cell. Its density of states at the Fermi level is 3.7 states/eV/f.u.

In terms of stability, run i leads; the second structure lies 80 meV/atom higher.

Run i
NaCaLa2Ir | PBE-GGA | optimized geometry

Unit cell a=5.6093 b=5.6093 c=5.8744 alpha=90.00 beta=90.00 gamma=90.00
With the nearest neighbours (Å) after each atom.
Fractional coordinates of all 5 atoms:
Na: 0.5000 0.5000 0.5000  4 Ca 3.97, 8 La 4.06
Ca: 0.0000 0.0000 0.5000  2 Ir 2.94
Ir: 0.0000 0.0000 0.0000  4 La 2.80, 2 Ca 2.94
La: 0.0000 0.5000 0.0000  2 Ir 2.80
La: 0.5000 0.0000 0.0000  2 Ir 2.80

Results
The spin magnetization is 0.0 μB per cell. Its density of states at the Fermi level is 3.5 states/eV/f.u.

Run ii
NaCaLa2Ir | PBE-GGA | optimized geometry

Unit cell a=5.5431 b=5.5431 c=5.9531 alpha=90.00 beta=90.00 gamma=90.00
With the nearest neighbours (Å) after each atom.
Fractional coordinates of all 5 atoms:
Na: 0.0000 0.0000 0.5000  2 Ir 2.98
Ca: 0.5000 0.5000 0.5000  4 Na 3.92, 8 La 4.07
Ir: 0.0000 0.0000 0.0000  4 La 2.77, 2 Na 2.98
La: 0.0000 0.5000 0.0000  2 Ir 2.77
La: 0.5000 0.0000 0.0000  2 Ir 2.77

Results
The spin magnetization is 0.0 μB per cell. Its density of states at the Fermi level is 4.0 states/eV/f.u.

In terms of stability, run i leads; the second structure lies 164 meV/atom higher.

Run i
CaLaY2Ir | PBE-GGA | optimized geometry

Unit cell a=5.4370 b=5.4370 c=5.6720 alpha=90.00 beta=90.00 gamma=90.00
With the nearest neighbours (Å) after each atom.
Fractional coordinates of all 5 atoms:
Y: 0.0000 0.5000 0.0000  2 Ir 2.72
Y: 0.5000 0.0000 0.0000  2 Ir 2.72
Ca: 0.0000 0.0000 0.5000  2 Ir 2.84
Ir: 0.0000 0.0000 0.0000  4 Y 2.72, 2 Ca 2.84
La: 0.5000 0.5000 0.5000  4 Ca 3.84, 8 Y 3.93

Results
The spin magnetization is 0.0 μB per cell. Its density of states at the Fermi level is 5.7 states/eV/f.u.

Run ii
CaLaY2Ir | PBE-GGA | optimized geometry

Unit cell a=5.5690 b=5.5690 c=5.5917 alpha=90.00 beta=90.00 gamma=90.00
With the nearest neighbours (Å) after each atom.
Fractional coordinates of all 5 atoms:
Y: 0.0000 0.5000 0.0000  2 Ir 2.78
Y: 0.5000 0.0000 0.0000  2 Ir 2.78
Ca: 0.5000 0.5000 0.5000  4 La 3.94, 8 Y 3.95
Ir: 0.0000 0.0000 0.0000  4 Y 2.78, 2 La 2.80
La: 0.0000 0.0000 0.5000  2 Ir 2.80

Results
The spin magnetization is 0.0 μB per cell. Its density of states at the Fermi level is 5.8 states/eV/f.u.

In terms of stability, run ii leads; the second structure lies 106 meV/atom higher.